Record 1
A geometry-optimized ZrMnW2 structure. Source: Alexandria via LeMat-Bulk, functional PBE-GGA.

Computed properties:
* energy of formation: 0.273 eV/atom
* final energy: -10.63 eV/atom
* energy relative to the lowest polymorph listed for this composition: 0.2070 eV/atom

Lattice parameters (Å, degrees): 4.477 4.477 4.477 60.00 60.00 60.00
Atoms (fractional coordinates):
Mn (0.000, 0.000, 0.000)
W (0.750, 0.750, 0.750)
W (0.250, 0.250, 0.250)
Zr (0.500, 0.500, 0.500)


Record 2
A geometry-optimized MgNiSb2 structure. Source: Alexandria via LeMat-Bulk, functional PBE-GGA.

Computed properties:
* energy relative to the elements, uncorrected: 0.04 eV per atom
* final energy: -3.87 eV/atom

Lattice parameters (Å, degrees): 5.311 5.311 5.311 137.00 120.11 76.52
Atoms (fractional coordinates):
Ni (0.750, 0.250, 0.500)
Sb (0.541, 0.541, 0.000)
Sb (0.959, 0.959, 0.000)
Mg (0.250, 0.750, 0.500)


Record 3
A geometry-optimized U2PRh structure. Source: Alexandria via LeMat-Bulk, functional PBE-GGA.

Computed properties:
* energy of formation: -0.099 eV/atom
* final energy: -8.93 eV/atom

Lattice parameters (Å, degrees): 3.263 3.263 8.967 79.52 79.52 60.00
Last column: magnetic moment on the atom in μB.
Atoms (fractional coordinates):
U (0.906, 0.906, 0.283)  1.00
U (0.094, 0.094, 0.717)  1.00
Rh (0.000, 0.000, 0.000)  -0.03
P (0.500, 0.500, 0.500)  -0.04


Record 4
A geometry-optimized BeZn3Si structure. Source: Alexandria via LeMat-Bulk, functional PBE-GGA.

Computed properties:
* energy relative to the elements, uncorrected: 0.54 eV per atom
* final energy: -2.05 eV/atom
* energy relative to the lowest polymorph listed for this composition: 0.0000 eV/atom

Lattice parameters (Å, degrees): 4.316 4.316 4.316 90.00 90.00 90.00
Atoms (fractional coordinates):
Si (0.500, 0.500, 0.500)
Be (0.000, 0.000, 0.000)
Zn (0.500, 0.000, 0.000)
Zn (0.000, 0.000, 0.500)
Zn (0.000, 0.500, 0.000)


Record 5
A geometry-optimized RhSeBr2 structure. Source: Alexandria via LeMat-Bulk, functional PBE-GGA.

Computed properties:
* energy relative to the elements, uncorrected: -0.08 eV per atom
* final energy: -3.63 eV/atom
* energy relative to the lowest polymorph listed for this composition: 0.1743 eV/atom

Lattice parameters (Å, degrees): 3.505 7.222 7.227 40.45 90.00 90.00
Atoms (fractional coordinates):
Br (0.000, 0.118, 0.118)
Br (0.000, 0.382, 0.382)
Se (0.500, 0.750, 0.750)
Rh (0.500, 0.250, 0.250)


Record 6
A geometry-optimized K3NbPb2S6 structure. Source: Alexandria via LeMat-Bulk, functional PBE-GGA.

Computed properties:
* energy relative to the elements, uncorrected: -0.95 eV per atom
* final energy: -4.74 eV/atom

Lattice parameters (Å, degrees): 7.161 7.161 7.568 99.22 99.22 119.91
Atoms (fractional coordinates):
S (0.643, 0.933, 0.800)
S (0.933, 0.643, 0.800)
S (0.220, 0.220, 0.800)
S (0.780, 0.780, 0.200)
S (0.067, 0.357, 0.200)
S (0.357, 0.067, 0.200)
K (0.500, 0.500, 0.500)
K (0.174, 0.826, 0.500)
K (0.826, 0.174, 0.500)
Nb (0.000, 0.000, 0.000)
Pb (0.666, 0.334, 0.000)
Pb (0.334, 0.666, 0.000)


Record 7
A geometry-optimized Be3ZnCl structure. Source: Alexandria via LeMat-Bulk, functional PBE-GGA.

Computed properties:
* energy relative to the elements, uncorrected: 0.81 eV per atom
* final energy: -2.05 eV/atom
* energy relative to the lowest polymorph listed for this composition: 0.0000 eV/atom

Lattice parameters (Å, degrees): 4.353 4.353 4.353 90.00 90.00 90.00
Atoms (fractional coordinates):
Be (0.500, 0.000, 0.000)
Be (0.000, 0.000, 0.500)
Be (0.000, 0.500, 0.000)
Zn (0.000, 0.000, 0.000)
Cl (0.500, 0.500, 0.500)


Record 8
A geometry-optimized Rb2NaLiY structure. Source: Alexandria via LeMat-Bulk, functional PBE-GGA.

Computed properties:
* energy of formation: 0.584 eV/atom
* final energy: -1.74 eV/atom

Lattice parameters (Å, degrees): 6.643 6.195 6.643 90.00 90.00 90.00
Atoms (fractional coordinates):
Y (0.000, 0.500, 0.000)
Rb (0.500, 0.000, 0.000)
Rb (0.000, 0.000, 0.500)
Li (0.000, 0.000, 0.000)
Na (0.500, 0.500, 0.500)


Record 9
A geometry-optimized SbTe2Br structure. Source: Alexandria via LeMat-Bulk, functional PBE-GGA.

Computed properties:
* energy relative to the elements, uncorrected: 0.17 eV per atom
* final energy: -2.85 eV/atom
* energy relative to the lowest polymorph listed for this composition: 0.3485 eV/atom

Lattice parameters (Å, degrees): 3.535 3.535 10.312 90.00 90.00 116.94
Atoms (fractional coordinates):
Te (0.000, 0.000, 0.992)
Te (0.500, 0.500, 0.237)
Br (0.000, 0.000, 0.524)
Sb (0.500, 0.500, 0.747)


Record 10
A geometry-optimized UCl6 structure. Source: Alexandria via LeMat-Bulk, functional PBE-GGA.

Computed properties:
* energy relative to the elements, uncorrected: -1.50 eV per atom
* final energy: -4.69 eV/atom

Lattice parameters (Å, degrees): 11.853 11.853 6.589 90.00 90.00 120.00
Atoms (fractional coordinates):
Cl (0.765, 0.235, 0.310)
Cl (0.902, 0.803, 0.784)
Cl (0.902, 0.098, 0.784)
Cl (0.863, 0.431, 0.743)
Cl (0.235, 0.765, 0.690)
Cl (0.137, 0.569, 0.257)
Cl (0.569, 0.431, 0.743)
Cl (0.235, 0.470, 0.690)
Cl (0.803, 0.902, 0.216)
Cl (0.530, 0.765, 0.690)
Cl (0.765, 0.530, 0.310)
Cl (0.197, 0.098, 0.784)
Cl (0.569, 0.137, 0.743)
Cl (0.431, 0.569, 0.257)
Cl (0.098, 0.197, 0.216)
Cl (0.470, 0.235, 0.310)
Cl (0.431, 0.863, 0.257)
Cl (0.098, 0.902, 0.216)
U (0.000, 0.000, 0.000)
U (0.333, 0.667, 0.473)
U (0.667, 0.333, 0.527)


Record 11
A geometry-optimized KCaTe2I structure. Source: Alexandria via LeMat-Bulk, functional PBE-GGA.

Computed properties:
* energy relative to the elements, uncorrected: -0.12 eV per atom
* final energy: -2.30 eV/atom
* energy relative to the lowest polymorph listed for this composition: 0.6735 eV/atom

Lattice parameters (Å, degrees): 5.943 5.943 6.211 90.00 90.00 90.00
Atoms (fractional coordinates):
K (0.000, 0.000, 0.000)
I (0.000, 0.000, 0.500)
Ca (0.500, 0.500, 0.500)
Te (0.000, 0.500, 0.000)
Te (0.500, 0.000, 0.000)